[1]
The following is a GGA-PBE calculation of Ac3Tm2Sn3 after structural relaxation, from Alexandria.

Cell: 12.2969 12.2969 12.2969 Å, 159.11 156.00 32.03°
Element x y z (fractional)
Ac  0.0000  0.0000  0.0000
Ac  0.3795  0.8795  0.5000
Ac  0.6205  0.1205  0.5000
Tm  0.2564  0.2564  0.0000
Tm  0.7436  0.7436  0.0000
Sn  0.1587  0.6587  0.5000
Sn  0.5000  0.5000  0.0000
Sn  0.8413  0.3413  0.5000

Values from the calculation:
* symmetry: Immm (71)
* excess energy over the best structure of this formula in the dataset: 0.101 eV per atom
* formation energy from the elements: -4.09 eV per formula unit
* spin magnetization: 0.000 μB/atom

[2]
The following is a GGA-PBE calculation of Ac5Tm2Sn4 after structural relaxation, from Alexandria.

Cell: 11.9399 11.9399 8.1436 Å, 109.85 109.85 22.52°
Element x y z (fractional)
Ac  0.0000  0.0000  0.0000
Ac  0.3392  0.3392  0.0691
Ac  0.3387  0.3387  0.6073
Ac  0.6613  0.6613  0.3927
Ac  0.6608  0.6608  0.9309
Tm  0.0725  0.0725  0.5735
Tm  0.9275  0.9275  0.4265
Sn  0.2102  0.2102  0.7110
Sn  0.5004  0.5004  0.3080
Sn  0.4996  0.4996  0.6920
Sn  0.7898  0.7898  0.2890

Values from the calculation:
* symmetry: C2/m (12)
* formation energy from the elements: -4.72 eV per formula unit
* spin magnetization: 0.000 μB/atom

[3]
The following is a GGA-PBE calculation of Ac5TmSn5 after structural relaxation, from Alexandria.

Cell: 9.1453 9.1453 7.7655 Å, 105.80 105.80 41.34°
Element x y z (fractional)
Ac  0.0000  0.0000  0.0000
Ac  0.3133  0.3133  0.2171
Ac  0.3539  0.3539  0.7297
Ac  0.6461  0.6461  0.2703
Ac  0.6867  0.6867  0.7829
Tm  0.0000  0.0000  0.5000
Sn  0.1603  0.1603  0.8379
Sn  0.1624  0.1624  0.4216
Sn  0.5000  0.5000  0.5000
Sn  0.8376  0.8376  0.5784
Sn  0.8397  0.8397  0.1621

Values from the calculation:
* symmetry: C2/m (12)
* formation energy from the elements: -5.11 eV per formula unit
* spin magnetization: 0.000 μB/atom

[4]
The following is a GGA-PBE calculation of Ac4TmSn4 after structural relaxation, from Alexandria.

Cell: 9.8202 9.8202 6.8783 Å, 90.00 90.00 90.00°
Element x y z (fractional)
Ac  0.0372  0.6760  0.1073
Ac  0.1760  0.9628  0.6073
Ac  0.3240  0.5372  0.6073
Ac  0.4628  0.8240  0.1073
Ac  0.5372  0.1760  0.8927
Ac  0.6760  0.4628  0.3927
Ac  0.8240  0.0372  0.3927
Ac  0.9628  0.3240  0.8927
Tm  0.2500  0.2500  0.2500
Tm  0.7500  0.7500  0.7500
Sn  0.0060  0.6432  0.5971
Sn  0.1432  0.9940  0.0971
Sn  0.3568  0.5060  0.0971
Sn  0.4940  0.8568  0.5971
Sn  0.5060  0.1432  0.4029
Sn  0.6432  0.4940  0.9029
Sn  0.8568  0.0060  0.9029
Sn  0.9940  0.3568  0.4029

Values from the calculation:
* symmetry: P4_2/n (86)
* formation energy from the elements: -4.62 eV per formula unit
* spin magnetization: 0.000 μB/atom

[5]
The following is a GGA-PBE calculation of AcTm2Sn2 after structural relaxation, from Alexandria.

Cell: 7.9860 7.9860 6.6662 Å, 111.14 111.14 98.10°
Element x y z (fractional)
Ac  0.1193  0.8807  0.7500
Ac  0.8807  0.1193  0.2500
Tm  0.2221  0.4387  0.0023
Tm  0.4387  0.2221  0.5023
Tm  0.5613  0.7779  0.4977
Tm  0.7779  0.5613  0.9977
Sn  0.1687  0.8313  0.2500
Sn  0.3933  0.6067  0.7500
Sn  0.6067  0.3933  0.2500
Sn  0.8313  0.1687  0.7500

Values from the calculation:
* symmetry: C2/c (15)
* formation energy from the elements: -1.75 eV per formula unit
* spin magnetization: 0.001 μB/atom

[6]
The following is a GGA-PBE calculation of Ac3Tm4Sn4 after structural relaxation, from Alexandria.

Cell: 7.9659 7.9659 7.9659 Å, 109.47 109.47 109.47°
Element x y z (fractional)
Ac  0.0000  0.5000  0.5000
Ac  0.5000  0.0000  0.5000
Ac  0.5000  0.5000  0.0000
Tm  0.0000  0.0000  0.2566
Tm  0.0000  0.2566  0.0000
Tm  0.2566  0.0000  0.0000
Tm  0.7434  0.7434  0.7434
Sn  0.0000  0.0000  0.6192
Sn  0.0000  0.6192  0.0000
Sn  0.3808  0.3808  0.3808
Sn  0.6192  0.0000  0.0000

Values from the calculation:
* symmetry: I-43m (217)
* formation energy from the elements: -4.09 eV per formula unit
* spin magnetization: 0.001 μB/atom

[7]
The following is a GGA-PBE calculation of Ac7TmSn4 after structural relaxation, from Alexandria.

Cell: 8.4072 8.4072 11.5876 Å, 122.40 122.40 43.36°
Element x y z (fractional)
Ac  0.0000  0.0000  0.0000
Ac  0.2024  0.2024  0.6383
Ac  0.2919  0.2919  0.1076
Ac  0.4377  0.4377  0.6244
Ac  0.5623  0.5623  0.3756
Ac  0.7081  0.7081  0.8924
Ac  0.7976  0.7976  0.3617
Tm  0.5000  0.5000  0.0000
Sn  0.0597  0.0597  0.7574
Sn  0.1930  0.1930  0.3321
Sn  0.8070  0.8070  0.6679
Sn  0.9403  0.9403  0.2426

Values from the calculation:
* symmetry: C2/m (12)
* formation energy from the elements: -2.54 eV per formula unit
* spin magnetization: 0.000 μB/atom

[8]
The following is a GGA-PBE calculation of Ac4TmSn2 after structural relaxation, from Alexandria.

Cell: 10.4154 10.4154 10.4154 Å, 32.30 32.30 32.30°
Element x y z (fractional)
Ac  0.1252  0.1252  0.1252
Ac  0.2831  0.2831  0.2831
Ac  0.7169  0.7169  0.7169
Ac  0.8748  0.8748  0.8748
Tm  0.5000  0.5000  0.5000
Sn  0.3976  0.3976  0.3976
Sn  0.6024  0.6024  0.6024

Values from the calculation:
* symmetry: R-3m (166)
* formation energy from the elements: -1.87 eV per formula unit
* spin magnetization: 0.000 μB/atom

Number 1 is which compound? Ac3Tm2Sn3